Record 1
TbEr6Ag | PBE | optimized geometry

Unit cell a=6.216 b=6.216 c=6.216 alpha=95.63 beta=95.63 gamma=95.63
Fractional positions:
Tb 0.000 0.000 0.000
Er 0.070 0.546 0.263
Er 0.263 0.070 0.546
Er 0.454 0.737 0.930
Er 0.546 0.263 0.070
Er 0.737 0.930 0.454
Er 0.930 0.454 0.737
Ag 0.500 0.500 0.500

Computed properties:
Its formation enthalpy at 0 K is 0.045 eV per atom.

=====

Record 2
TbEr3Ag2 | PBE | optimized geometry

Unit cell a=8.601 b=8.601 c=8.601 alpha=131.88 beta=72.34 gamma=129.48
Fractional positions:
Tb 0.000 0.000 0.000
Tb 0.500 0.500 0.000
Er 0.021 0.250 0.771
Er 0.250 0.750 0.500
Er 0.479 0.250 0.229
Er 0.521 0.750 0.771
Er 0.750 0.250 0.500
Er 0.979 0.750 0.229
Ag 0.143 0.700 0.843
Ag 0.357 0.200 0.558
Ag 0.643 0.800 0.442
Ag 0.857 0.300 0.157

Computed properties:
For the energy above the most stable polymorph in this dataset, the calculation gives 0.234 eV/atom. Its formation enthalpy at 0 K is 0.028 eV per atom.

=====

Record 3
TbErAg | PBE | optimized geometry

Unit cell a=7.008 b=5.048 c=9.059 alpha=90.00 beta=90.00 gamma=90.00
Fractional positions:
Tb 0.016 0.250 0.185
Tb 0.484 0.750 0.685
Tb 0.516 0.250 0.315
Tb 0.984 0.750 0.815
Er 0.152 0.250 0.578
Er 0.348 0.750 0.078
Er 0.652 0.250 0.922
Er 0.848 0.750 0.422
Ag 0.240 0.250 0.899
Ag 0.260 0.750 0.399
Ag 0.740 0.250 0.601
Ag 0.760 0.750 0.101

Computed properties:
For the energy above the most stable polymorph in this dataset, the calculation gives 0.000 eV/atom. Its formation enthalpy at 0 K is -0.201 eV per atom.

=====

Record 4
Tb5Er4Ag | PBE | optimized geometry

Unit cell a=3.540 b=3.540 c=23.895 alpha=90.00 beta=90.00 gamma=90.00
Fractional positions:
Tb 0.000 0.000 0.000
Tb 0.000 0.000 0.209
Tb 0.000 0.000 0.419
Tb 0.000 0.000 0.581
Tb 0.000 0.000 0.791
Er 0.500 0.500 0.104
Er 0.500 0.500 0.313
Er 0.500 0.500 0.687
Er 0.500 0.500 0.896
Ag 0.500 0.500 0.500

Computed properties:
Its formation enthalpy at 0 K is -0.038 eV per atom.

=====

Record 5
TbErAg4 | PBE | optimized geometry

Unit cell a=3.708 b=5.330 c=7.529 alpha=100.54 beta=104.19 gamma=110.35
Fractional positions:
Tb 0.000 0.000 0.000
Er 0.500 0.500 0.500
Ag 0.162 0.493 0.831
Ag 0.332 0.001 0.662
Ag 0.668 0.999 0.338
Ag 0.838 0.507 0.169

Computed properties:
For the energy above the most stable polymorph in this dataset, the calculation gives 0.000 eV/atom. Its formation enthalpy at 0 K is -0.316 eV per atom.

=====

Record 6
TbErAg | PBE | optimized geometry

Unit cell a=5.013 b=5.013 c=5.013 alpha=60.00 beta=60.00 gamma=60.00
Fractional positions:
Tb 0.000 0.000 0.000
Er 0.500 0.500 0.500
Ag 0.250 0.250 0.250

Computed properties:
For the energy above the most stable polymorph in this dataset, the calculation gives 0.244 eV/atom. Its formation enthalpy at 0 K is 0.042 eV per atom.

=====

Look up the formation enthalpy at 0 K of the second one. 0.028 eV per atom